Entry from Alexandria via LeMat-Bulk: LaZrSc2H after structural relaxation (PBE).

**N(E_F)**: 3.57 states/eV per cell
**Symmetry**: No. 123
**Total magnetization**: 0.00 μB per atom
**Energy above the most stable polymorph in this dataset**: 27 meV/atom

Lattice parameters (Å, degrees): 4.724 4.724 4.646 90.00 90.00 90.00
Element x y z (fractional)
La  0.000  0.000  0.000
Zr  0.500  0.500  0.000
Sc  0.000  0.500  0.500
Sc  0.500  0.000  0.500
H  0.500  0.500  0.500